(1)
A geometry-optimized Si5Pt structure, computed with PBE.

CIF file:
```
data_Si5Pt
_cell_length_a 5.848
_cell_length_b 5.848
_cell_length_c 4.851
_cell_angle_alpha 90.00
_cell_angle_beta 90.00
_cell_angle_gamma 145.80
_symmetry_space_group_name_H-M 'P 1'
_symmetry_Int_Tables_number 1
loop_
_symmetry_equiv_pos_as_xyz
'x,y,z'
loop_
_atom_site_label
_atom_site_type_symbol
_atom_site_fract_x
_atom_site_fract_y
_atom_site_fract_z
Si1 Si 0.025 0.975 0.000
Si2 Si 0.359 0.641 0.000
Si3 Si 0.693 0.307 0.000
Si4 Si 0.422 0.578 0.500
Si5 Si 0.751 0.249 0.500
Pt1 Pt 0.083 0.917 0.500
```

Summary:
The value obtained for the energy above the most stable polymorph in this dataset is 0.000 eV/atom. Its space group is Amm2 (38). The crystal system is orthorhombic. The energy relative to the elements, uncorrected is 7.3 kJ/mol of atoms.

(2)
A geometry-optimized Na8SnS6 structure, computed with PBE.

CIF file:
```
data_Na8SnS6
_cell_length_a 8.289
_cell_length_b 7.998
_cell_length_c 11.507
_cell_angle_alpha 90.00
_cell_angle_beta 90.00
_cell_angle_gamma 90.00
_symmetry_space_group_name_H-M 'P 1'
_symmetry_Int_Tables_number 1
loop_
_symmetry_equiv_pos_as_xyz
'x,y,z'
loop_
_atom_site_label
_atom_site_type_symbol
_atom_site_fract_x
_atom_site_fract_y
_atom_site_fract_z
Na1 Na 0.363 0.000 0.955
Na2 Na 0.637 0.500 0.455
Na3 Na 0.919 0.801 0.155
Na4 Na 0.081 0.699 0.655
Na5 Na 0.081 0.301 0.655
Na6 Na 0.919 0.199 0.155
Na7 Na 0.445 0.730 0.690
Na8 Na 0.555 0.770 0.190
Na9 Na 0.555 0.230 0.190
Na10 Na 0.445 0.270 0.690
Na11 Na 0.843 0.810 0.844
Na12 Na 0.157 0.690 0.344
Na13 Na 0.157 0.310 0.344
Na14 Na 0.843 0.190 0.844
Na15 Na 0.272 0.000 0.506
Na16 Na 0.728 0.500 0.006
Sn1 Sn 0.762 0.000 0.491
Sn2 Sn 0.238 0.500 0.991
S1 S 0.714 0.000 0.020
S2 S 0.286 0.500 0.520
S3 S 0.224 0.000 0.733
S4 S 0.776 0.500 0.233
S5 S 0.001 0.000 0.364
S6 S 0.999 0.500 0.864
S7 S 0.527 0.000 0.368
S8 S 0.473 0.500 0.868
S9 S 0.240 0.747 0.111
S10 S 0.760 0.753 0.611
S11 S 0.760 0.247 0.611
S12 S 0.240 0.253 0.111
```

Summary:
Its space group is Pmn2_1 (31). The crystal system is orthorhombic. The energy relative to the elements, uncorrected is -90.3 kJ/mol of atoms.

(3)
A geometry-optimized Pm2Ho2Tm3 structure, computed with PBE.

CIF file:
```
data_Pm2Ho2Tm3
_cell_length_a 8.376
_cell_length_b 8.376
_cell_length_c 8.376
_cell_angle_alpha 109.47
_cell_angle_beta 109.47
_cell_angle_gamma 109.47
_symmetry_space_group_name_H-M 'P 1'
_symmetry_Int_Tables_number 1
loop_
_symmetry_equiv_pos_as_xyz
'x,y,z'
loop_
_atom_site_label
_atom_site_type_symbol
_atom_site_fract_x
_atom_site_fract_y
_atom_site_fract_z
Pm1 Pm 0.000 0.000 0.812
Pm2 Pm 0.500 0.812 0.500
Pm3 Pm 0.188 0.688 0.688
Pm4 Pm 0.312 0.500 0.000
Ho1 Ho 0.000 0.000 0.413
Ho2 Ho 0.500 0.413 0.500
Ho3 Ho 0.587 0.087 0.087
Ho4 Ho 0.913 0.500 0.000
Tm1 Tm 0.693 0.750 0.943
Tm2 Tm 0.807 0.250 0.557
Tm3 Tm 0.057 0.307 0.250
Tm4 Tm 0.443 0.193 0.750
Tm5 Tm 0.250 0.943 0.193
Tm6 Tm 0.750 0.557 0.307
```

Summary:
The value obtained for the energy above the most stable polymorph in this dataset is 0.103 eV/atom. Its space group is I2_13 (199). The formation energy is 0.23 eV per atom. The crystal system is cubic.

(4)
A geometry-optimized CsBa2H8Ir structure, computed with PBE.

CIF file:
```
data_CsBa2H8Ir
_cell_length_a 5.330
_cell_length_b 5.330
_cell_length_c 7.690
_cell_angle_alpha 90.00
_cell_angle_beta 90.00
_cell_angle_gamma 120.00
_symmetry_space_group_name_H-M 'P 1'
_symmetry_Int_Tables_number 1
loop_
_symmetry_equiv_pos_as_xyz
'x,y,z'
loop_
_atom_site_label
_atom_site_type_symbol
_atom_site_fract_x
_atom_site_fract_y
_atom_site_fract_z
Cs1 Cs 0.000 0.000 0.500
Ba1 Ba 0.667 0.333 0.209
Ba2 Ba 0.333 0.667 0.791
H1 H 0.849 0.698 0.876
H2 H 0.302 0.151 0.876
H3 H 0.849 0.151 0.876
H4 H 0.151 0.302 0.124
H5 H 0.698 0.849 0.124
H6 H 0.151 0.849 0.124
H7 H 0.667 0.333 0.560
H8 H 0.333 0.667 0.440
Ir1 Ir 0.000 0.000 0.000
```

Summary:
The raw total energy is -45.88 eV for the cell shown. Its space group is P-3m1 (164). The crystal system is trigonal.

(5)
A geometry-optimized SiTe4P structure, computed with PBE.

CIF file:
```
data_SiTe4P
_cell_length_a 6.188
_cell_length_b 6.188
_cell_length_c 6.188
_cell_angle_alpha 60.00
_cell_angle_beta 60.00
_cell_angle_gamma 60.00
_symmetry_space_group_name_H-M 'P 1'
_symmetry_Int_Tables_number 1
loop_
_symmetry_equiv_pos_as_xyz
'x,y,z'
loop_
_atom_site_label
_atom_site_type_symbol
_atom_site_fract_x
_atom_site_fract_y
_atom_site_fract_z
Si1 Si 0.000 0.000 0.000
Te1 Te 0.873 0.376 0.376
Te2 Te 0.376 0.376 0.873
Te3 Te 0.376 0.873 0.376
Te4 Te 0.376 0.376 0.376
P1 P 0.750 0.750 0.750
```

Summary:
Its space group is F-43m (216). The crystal system is cubic. The energy relative to the elements, uncorrected is 100.7 kJ/mol of atoms.

(6)
A geometry-optimized CaPr6SmHo2 structure, computed with PBE.

CIF file:
```
data_CaPr6SmHo2
_cell_length_a 9.955
_cell_length_b 9.076
_cell_length_c 9.076
_cell_angle_alpha 118.23
_cell_angle_beta 94.30
_cell_angle_gamma 94.30
_symmetry_space_group_name_H-M 'P 1'
_symmetry_Int_Tables_number 1
loop_
_symmetry_equiv_pos_as_xyz
'x,y,z'
loop_
_atom_site_label
_atom_site_type_symbol
_atom_site_fract_x
_atom_site_fract_y
_atom_site_fract_z
Ca1 Ca 0.250 0.403 0.597
Ca2 Ca 0.750 0.597 0.403
Pr1 Pr 0.053 0.112 0.763
Pr2 Pr 0.447 0.237 0.888
Pr3 Pr 0.947 0.888 0.237
Pr4 Pr 0.553 0.763 0.112
Pr5 Pr 0.322 0.975 0.434
Pr6 Pr 0.178 0.566 0.025
Pr7 Pr 0.678 0.025 0.566
Pr8 Pr 0.822 0.434 0.975
Pr9 Pr 0.122 0.708 0.496
Pr10 Pr 0.378 0.504 0.292
Pr11 Pr 0.878 0.292 0.504
Pr12 Pr 0.622 0.496 0.708
Sm1 Sm 0.250 0.972 0.028
Sm2 Sm 0.750 0.028 0.972
Ho1 Ho 0.455 0.802 0.704
Ho2 Ho 0.045 0.296 0.198
Ho3 Ho 0.545 0.198 0.296
Ho4 Ho 0.955 0.704 0.802
```

Summary:
Its space group is C2/c (15). The formation energy is 0.13 eV per atom. The crystal system is monoclinic.

(7)
A geometry-optimized EuAs2Rh structure, computed with PBE.

CIF file:
```
data_EuAs2Rh
_cell_length_a 4.104
_cell_length_b 4.104
_cell_length_c 6.061
_cell_angle_alpha 70.21
_cell_angle_beta 70.21
_cell_angle_gamma 60.00
_symmetry_space_group_name_H-M 'P 1'
_symmetry_Int_Tables_number 1
loop_
_symmetry_equiv_pos_as_xyz
'x,y,z'
loop_
_atom_site_label
_atom_site_type_symbol
_atom_site_fract_x
_atom_site_fract_y
_atom_site_fract_z
Eu1 Eu 0.500 0.500 0.500
As1 As 0.275 0.275 0.176
As2 As 0.725 0.725 0.824
Rh1 Rh 0.000 0.000 0.000
```

Summary:
Its space group is R-3m (166). The formation energy is -0.83 eV per atom. The crystal system is trigonal.

(8)
A geometry-optimized HfSc2 structure, computed with PBE.

CIF file:
```
data_HfSc2
_cell_length_a 3.207
_cell_length_b 6.499
_cell_length_c 8.526
_cell_angle_alpha 125.26
_cell_angle_beta 100.84
_cell_angle_gamma 90.00
_symmetry_space_group_name_H-M 'P 1'
_symmetry_Int_Tables_number 1
loop_
_symmetry_equiv_pos_as_xyz
'x,y,z'
loop_
_atom_site_label
_atom_site_type_symbol
_atom_site_fract_x
_atom_site_fract_y
_atom_site_fract_z
Hf1 Hf 0.830 0.736 0.659
Hf2 Hf 0.170 0.264 0.341
Sc1 Sc 0.499 0.761 0.998
Sc2 Sc 0.170 0.749 0.341
Sc3 Sc 0.501 0.239 0.002
Sc4 Sc 0.830 0.251 0.659
```

Summary:
Its space group is C2/m (12). The formation energy is 0.05 eV per atom. The crystal system is monoclinic.

(9)
A geometry-optimized Th2MgPdPt5 structure, computed with PBE.

CIF file:
```
data_Th2MgPdPt5
_cell_length_a 8.672
_cell_length_b 8.672
_cell_length_c 8.081
_cell_angle_alpha 122.45
_cell_angle_beta 122.45
_cell_angle_gamma 90.00
_symmetry_space_group_name_H-M 'P 1'
_symmetry_Int_Tables_number 1
loop_
_symmetry_equiv_pos_as_xyz
'x,y,z'
loop_
_atom_site_label
_atom_site_type_symbol
_atom_site_fract_x
_atom_site_fract_y
_atom_site_fract_z
Th1 Th 0.134 0.366 0.000
Th2 Th 0.634 0.134 0.000
Th3 Th 0.366 0.866 0.000
Th4 Th 0.866 0.634 0.000
Mg1 Mg 0.250 0.250 0.500
Mg2 Mg 0.750 0.750 0.500
Pd1 Pd 0.250 0.750 0.500
Pd2 Pd 0.750 0.250 0.500
Pt1 Pt 0.951 0.451 0.283
Pt2 Pt 0.668 0.168 0.717
Pt3 Pt 0.049 0.549 0.717
Pt4 Pt 0.168 0.049 0.717
Pt5 Pt 0.549 0.668 0.717
Pt6 Pt 0.832 0.951 0.283
Pt7 Pt 0.451 0.332 0.283
Pt8 Pt 0.332 0.832 0.283
Pt9 Pt 0.500 0.500 0.000
Pt10 Pt 0.000 0.000 0.000
```

Summary:
Its space group is I4/mcm (140). The formation energy is -0.50 eV per atom. The crystal system is tetragonal.

(10)
A geometry-optimized MgRhF structure, computed with PBE.

CIF file:
```
data_MgRhF
_cell_length_a 8.795
_cell_length_b 2.906
_cell_length_c 7.416
_cell_angle_alpha 90.00
_cell_angle_beta 90.00
_cell_angle_gamma 90.00
_symmetry_space_group_name_H-M 'P 1'
_symmetry_Int_Tables_number 1
loop_
_symmetry_equiv_pos_as_xyz
'x,y,z'
loop_
_atom_site_label
_atom_site_type_symbol
_atom_site_fract_x
_atom_site_fract_y
_atom_site_fract_z
Mg1 Mg 0.997 0.250 0.697
Mg2 Mg 0.503 0.750 0.197
Mg3 Mg 0.003 0.750 0.303
Mg4 Mg 0.497 0.250 0.803
Rh1 Rh 0.385 0.250 0.463
Rh2 Rh 0.115 0.750 0.963
Rh3 Rh 0.615 0.750 0.537
Rh4 Rh 0.885 0.250 0.037
F1 F 0.110 0.250 0.444
F2 F 0.390 0.750 0.944
F3 F 0.890 0.750 0.556
F4 F 0.610 0.250 0.056
```

Summary:
The value obtained for the energy above the most stable polymorph in this dataset is 0.344 eV/atom. Its space group is Pnma (62). The crystal system is orthorhombic. The energy relative to the elements, uncorrected is -127.9 kJ/mol of atoms.

(11)
A geometry-optimized Ta2TlIn structure, computed with PBE.

CIF file:
```
data_Ta2TlIn
_cell_length_a 2.991
_cell_length_b 2.991
_cell_length_c 9.013
_cell_angle_alpha 90.00
_cell_angle_beta 90.00
_cell_angle_gamma 90.00
_symmetry_space_group_name_H-M 'P 1'
_symmetry_Int_Tables_number 1
loop_
_symmetry_equiv_pos_as_xyz
'x,y,z'
loop_
_atom_site_label
_atom_site_type_symbol
_atom_site_fract_x
_atom_site_fract_y
_atom_site_fract_z
In1 In 0.500 0.500 0.750
Ta1 Ta 0.000 0.000 0.996
Ta2 Ta 0.000 0.000 0.504
Tl1 Tl 0.500 0.500 0.250
```

Summary:
The value obtained for the energy above the most stable polymorph in this dataset is 0.138 eV/atom. Its space group is P4/mmm (123). The formation energy is 0.46 eV per atom. The crystal system is tetragonal.

(12)
A geometry-optimized AlZn2Cl structure, computed with PBE.

CIF file:
```
data_AlZn2Cl
_cell_length_a 3.201
_cell_length_b 3.201
_cell_length_c 7.453
_cell_angle_alpha 90.00
_cell_angle_beta 90.00
_cell_angle_gamma 90.00
_symmetry_space_group_name_H-M 'P 1'
_symmetry_Int_Tables_number 1
loop_
_symmetry_equiv_pos_as_xyz
'x,y,z'
loop_
_atom_site_label
_atom_site_type_symbol
_atom_site_fract_x
_atom_site_fract_y
_atom_site_fract_z
Zn1 Zn 0.000 0.000 0.062
Zn2 Zn 0.500 0.500 0.254
Al1 Al 0.000 0.000 0.478
Cl1 Cl 0.500 0.500 0.705
```

Summary:
The value obtained for the energy above the most stable polymorph in this dataset is 0.102 eV/atom. Its space group is P4mm (99). The crystal system is tetragonal. The energy relative to the elements, uncorrected is -4.1 kJ/mol of atoms.